1.
First-principles (PBE) data for TbScCoPt after structural relaxation, as listed in Alexandria.

Unit cell a=4.7228 b=4.7228 c=4.7228 alpha=60.00 beta=60.00 gamma=60.00
Each line ends with the local moment (μB).
Fractional positions:
Sc  0.0000  0.0000  0.0000  -0.09
Co  0.2500  0.2500  0.2500  0.64
Tb  0.5000  0.5000  0.5000  -0.08
Pt  0.7500  0.7500  0.7500  0.02

Values from the calculation:
For the energy relative to the elements, the calculation gives -677 meV per atom. The symmetry is No. 216.

---

2.
First-principles (PBE) data for ScCo2TcPt after structural relaxation, as listed in Alexandria.

Unit cell a=4.5734 b=4.7639 c=4.5734 alpha=90.00 beta=90.00 gamma=90.00
Each line ends with the local moment (μB).
Fractional positions:
Sc  0.5000  0.5000  0.5000  -0.20
Co  0.0000  0.0000  0.5000  2.21
Co  0.5000  0.0000  0.0000  1.53
Tc  0.0000  0.5000  0.0000  0.59
Pt  0.0000  0.0000  0.0000  0.34

Values from the calculation:
For the energy relative to the elements, the calculation gives 983 meV per atom. The symmetry is No. 123.

---

3.
First-principles (PBE) data for YScCoPt after structural relaxation, as listed in Alexandria.

Unit cell a=4.7224 b=4.7224 c=4.7224 alpha=60.00 beta=60.00 gamma=60.00
Each line ends with the local moment (μB).
Fractional positions:
Y  0.5000  0.5000  0.5000  -0.07
Sc  0.0000  0.0000  0.0000  -0.11
Co  0.2500  0.2500  0.2500  0.82
Pt  0.7500  0.7500  0.7500  0.04

Values from the calculation:
For the energy relative to the elements, the calculation gives -681 meV per atom. The symmetry is No. 216.